Record 1
Entry from the Alexandria database: a geometry-optimized Cs2CdWCl6 structure (PBE).

a = 7.8981 Å, b = 7.8981 Å, c = 7.9085 Å
α = 60.04°, β = 60.04°, γ = 90.00°
Fractional coordinates of all 10 atoms:
Cl: 0.7834 0.7834 0.0000
Cl: 0.2166 0.2166 0.0000
Cl: 0.7834 0.2166 0.0000
Cl: 0.2166 0.7834 0.0000
Cl: 0.7841 0.7841 0.4319
Cl: 0.2159 0.2159 0.5681
Cd: 0.5000 0.5000 0.0000
Cs: 0.2500 0.7500 0.5000
Cs: 0.7500 0.2500 0.5000
W: 0.0000 0.0000 0.0000

Computed properties:
crystal system: tetragonal
formation energy from raw total energies: -110.9 kJ per mole of atoms


Record 2
Entry from the Alexandria database: a geometry-optimized LiCa2Sn4Pt3 structure (PBE).

a = 4.5212 Å, b = 4.5212 Å, c = 11.1446 Å
α = 90.00°, β = 90.00°, γ = 90.00°
Fractional coordinates of all 10 atoms:
Ca: 0.5000 0.0000 0.2556
Ca: 0.0000 0.5000 0.7444
Pt: 0.0000 0.5000 0.1338
Pt: 0.5000 0.0000 0.8662
Pt: 0.0000 0.0000 0.5000
Sn: 0.5000 0.0000 0.6301
Sn: 0.5000 0.5000 0.0000
Sn: 0.0000 0.5000 0.3699
Sn: 0.0000 0.0000 0.0000
Li: 0.5000 0.5000 0.5000

Computed properties:
crystal system: tetragonal
energy relative to the elements: -6.94 eV per formula unit


Record 3
Entry from the Alexandria database: a geometry-optimized PaBiAuO5 structure (PBE).

a = 6.2527 Å, b = 6.2527 Å, c = 8.5988 Å
α = 109.99°, β = 109.99°, γ = 94.44°
Fractional coordinates of all 16 atoms:
O: 0.7789 0.2605 0.0199
O: 0.7395 0.2211 0.4801
O: 0.2605 0.7789 0.5199
O: 0.6925 0.7087 0.8498
O: 0.3075 0.2913 0.1502
O: 0.9699 0.0301 0.7500
O: 0.0301 0.9699 0.2500
O: 0.2913 0.3075 0.6502
O: 0.2211 0.7395 0.9801
O: 0.7087 0.6925 0.3498
Au: 0.7312 0.2688 0.2500
Au: 0.2688 0.7312 0.7500
Bi: 0.6589 0.3411 0.7500
Bi: 0.3411 0.6589 0.2500
Pa: 0.0000 0.0000 0.0000
Pa: 0.0000 0.0000 0.5000

Computed properties:
crystal system: monoclinic
formation energy from raw total energies: -171.4 kJ per mole of atoms


Record 4
Entry from the Alexandria database: a geometry-optimized Hg2Te2Cl structure (PBE).

a = 4.3968 Å, b = 4.3968 Å, c = 8.3742 Å
α = 74.78°, β = 74.78°, γ = 90.00°
Fractional coordinates of all 5 atoms:
Hg: 0.5879 0.5879 0.8242
Hg: 0.4121 0.4121 0.1758
Cl: 0.0000 0.0000 0.0000
Te: 0.7500 0.2500 0.5000
Te: 0.2500 0.7500 0.5000

Computed properties:
crystal system: tetragonal
polymorph energy (0 for the lowest one): 1.40 eV per formula unit
formation energy from raw total energies: -0.4 kJ per mole of atoms


Record 5
Entry from the Alexandria database: a geometry-optimized Rb7C structure (PBE).

a = 9.5658 Å, b = 9.5658 Å, c = 9.5658 Å
α = 60.00°, β = 60.00°, γ = 60.00°
Fractional coordinates of all 8 atoms:
C: 0.0000 0.0000 0.0000
Rb: 0.5000 0.5000 0.0000
Rb: 0.0000 0.0000 0.5000
Rb: 0.0000 0.5000 0.5000
Rb: 0.5000 0.0000 0.5000
Rb: 0.0000 0.5000 0.0000
Rb: 0.5000 0.0000 0.0000
Rb: 0.5000 0.5000 0.5000

Computed properties:
crystal system: cubic
energy relative to the elements: 6.14 eV per formula unit


Record 6
Entry from the Alexandria database: a geometry-optimized HoGa2Co2C structure (PBE).

a = 3.8632 Å, b = 3.8632 Å, c = 6.8113 Å
α = 106.47°, β = 106.47°, γ = 90.00°
Fractional coordinates of all 6 atoms:
Co: 0.8629 0.8629 0.7257
Co: 0.1371 0.1371 0.2743
Ho: 0.5000 0.5000 0.0000
C: 0.0000 0.0000 0.0000
Ga: 0.7500 0.2500 0.5000
Ga: 0.2500 0.7500 0.5000

Computed properties:
crystal system: tetragonal
energy relative to the elements: -1.24 eV per formula unit


no.,size of the total moment (Bohr magnetons per cell),theoretical density (Mg/m³)
1,2.3,3.683
2,0.0,8.362
3,0.0,8.221
4,0.0,7.642
5,2.5,1.637
6,0.0,7.743